No. 1
This record from Alexandria describes a geometry-optimized LiSc2Os structure. The functional is PBE-GGA.

It has space group C2/m (No. 12), with a = 8.1437 Å, b = 3.1047 Å, c = 6.2567 Å, α = 90.00°, β = 96.56° and γ = 90.00°. Symmetry generates all atoms from Li at (0.0000, 0.0000, 0.0000), Sc at (0.2366, 0.0000, 0.7136) and Os at (0.0000, 0.5000, 0.5000).

Its density of states at the Fermi level is 3.656 states/eV/f.u. Its size of the total moment is 0.000 μB/atom. Its energy relative to the elements is 0.41 kcal/mol of atoms.

No. 2
This record from Alexandria describes a geometry-optimized Rb3Sm3ErS8 structure. The functional is PBE-GGA.

It has space group R-3m (No. 166, hexagonal axes), with a = 8.2152 Å, b = 8.2152 Å, c = 23.4922 Å, α = 90.00°, β = 90.00° and γ = 120.00°. Symmetry generates all atoms from Rb at (0.0000, 0.5000, 0.0000), Sm at (0.0000, 0.5000, 0.5000), Er at (0.0000, 0.0000, 0.5000), S at (0.0000, 0.0000, 0.2318) and S at (0.0085, 0.5043, 0.2294).

For the total energy, the calculation gives -5.397 eV per atom. Its density of states at the Fermi level is 12.647 states/eV/f.u. Its size of the total moment is 0.000 μB/atom.